! SrPa2NiO8 (PBE with a Hubbard U, relaxed); values from VASP
! space-group type: No. 65
! crystal system: orthorhombic
! D(E_F): 0.5287 states/eV per atom
! calculated total energy: -93.620 eV for the cell shown
! V: 14.98 Å³/atom
&SYSTEM
  ibrav = 0, nat = 12, ntyp = 4
/
ATOMIC_SPECIES
Sr 87.62 Sr.upf
Pa 231.04 Pa.upf
Ni 58.69 Ni.upf
O 16.00 O.upf
CELL_PARAMETERS angstrom
3.455 -3.663 0.000
3.455 3.663 0.000
0.000 0.000 7.104
ATOMIC_POSITIONS crystal
Sr 0.000 0.000 0.000
Pa 0.500 0.500 0.257
Pa 0.500 0.500 0.743
Ni 0.000 0.000 0.500
O 0.195 0.195 0.296
O 0.195 0.195 0.704
O 0.309 0.691 0.500
O 0.329 0.671 0.000
O 0.671 0.329 0.000
O 0.691 0.309 0.500
O 0.805 0.805 0.296
O 0.805 0.805 0.704